# 1
# RbHfIr2Ru

Crystalline RbHfIr2Ru at its relaxed geometry (PBE, the Alexandria database).

Cell lengths 4.857, 4.857, 5.610 Å; angles 90.00, 90.00, 90.00 degrees
Space group P4/mmm (No. 123)
One atom of each set of equivalent atoms:
Rb 0.000 0.000 0.000 [1 per cell]
Hf 0.000 0.000 0.500 [1 per cell]
Ir 0.000 0.500 0.500 [2 per cell]
Ru 0.500 0.500 0.000 [1 per cell]

Summary:
The total energy is -5.62 eV/atom. The calculation puts the formation energy at 1967 meV/atom.

# 2
# Rb2GeBr

Crystalline Rb2GeBr at its relaxed geometry (PBE, the Alexandria database).

Cell lengths 8.689, 8.689, 8.689 Å; angles 90.00, 90.00, 90.00 degrees
Space group Fm-3m (No. 225)
One atom of each set of equivalent atoms:
Rb 0.250 0.250 0.250 [8 per cell]
Ge 0.000 0.000 0.000 [4 per cell]
Br 0.000 0.000 0.500 [4 per cell]

Summary:
The total energy is -2.50 eV/atom. The value obtained for the energy above the most stable polymorph in this dataset is 0.00 kJ/mol of atoms.

# 3
# AgSb

Crystalline AgSb at its relaxed geometry (PBE, the Alexandria database).

Cell lengths 3.074, 4.129, 7.425 Å; angles 90.00, 90.00, 90.00 degrees
Space group Pmmn (No. 59, origin choice 2)
One atom of each set of equivalent atoms:
Ag 0.250 0.250 0.103 [2 per cell]
Sb 0.250 0.250 0.686 [2 per cell]

Summary:
The total energy is -3.37 eV/atom. The value obtained for the energy above the most stable polymorph in this dataset is 3.19 kJ/mol of atoms.

# 4
# Zn4N3

Crystalline Zn4N3 at its relaxed geometry (PBE, the Alexandria database).

Cell lengths 11.053, 3.067, 5.405 Å; angles 90.00, 117.19, 90.00 degrees
Space group C2/m (No. 12)
One atom of each set of equivalent atoms:
Zn 0.124 0.000 0.319 [4 per cell]
Zn 0.136 0.500 0.779 [4 per cell]
N 0.000 0.000 0.500 [2 per cell]
N 0.194 0.500 0.187 [4 per cell]

Summary:
The total energy is -3.94 eV/atom.